(1)
The following is a PBE calculation of a relaxed RbIF5 crystal, from the Alexandria database.

M_tot, μB per formula unit: 0.22
E_form (uncorrected), kJ per mole of atoms: -180.6

a = 6.6467 Å, b = 6.6467 Å, c = 10.5572 Å
α = 71.47°, β = 71.47°, γ = 43.19°
Closest atoms and distances in Å follow each position.
Sites, in units of the cell vectors:
F 0.2505 0.2495 0.7500  2 I 2.45
F 0.8920 0.8911 0.8035  1 I 2.01
F 0.3911 0.3920 0.3035  1 I 2.01
F 0.1080 0.1089 0.1965  1 I 2.01
F 0.3563 0.3570 0.0553  1 I 2.03
F 0.6437 0.6430 0.9447  1 I 2.03
F 0.6089 0.6080 0.6965  1 I 2.01
F 0.7495 0.7505 0.2500  2 I 2.45
F 0.8570 0.8563 0.5553  1 I 2.03
F 0.1430 0.1437 0.4447  1 I 2.03
I 0.2496 0.2504 0.2500  4 F 2.01-2.03
I 0.7504 0.7496 0.7500  4 F 2.01-2.03
Rb 0.5000 0.5000 0.5000  6 F 2.83-2.96
Rb 0.0000 0.0000 0.0000  6 F 2.83-2.96

***

(2)
The following is a PBE calculation of a relaxed YTh2F11 crystal, from the Alexandria database.

M_tot, μB per formula unit: 0.00
E_form (uncorrected), kJ per mole of atoms: -396.3

a = 8.5930 Å, b = 8.8067 Å, c = 8.8067 Å
α = 74.24°, β = 60.80°, γ = 60.80°
Closest atoms and distances in Å follow each position.
Sites, in units of the cell vectors:
F 0.2646 0.3128 0.9723  1 Th 2.28, 1 Y 2.31
F 0.7354 0.6872 0.0277  1 Th 2.28, 1 Y 2.31
F 0.6231 0.2894 0.7106  2 Th 2.25-2.36, 1 F 2.48
F 0.9503 0.8128 0.4723  1 Th 2.28, 1 Y 2.31
F 0.0721 0.5656 0.7116  1 Th 2.27, 1 Y 2.33
F 0.7646 0.4723 0.8128  1 Th 2.28, 1 Y 2.31
F 0.3769 0.7106 0.2894  2 Th 2.25-2.36, 1 F 2.48
F 0.5000 0.5000 0.5000  2 Th 2.33, 2 F 2.48
F 0.1507 0.0656 0.2116  1 Th 2.27, 1 Y 2.33
F 0.2354 0.5277 0.1872  1 Th 2.28, 1 Y 2.31
F 0.4503 0.9723 0.3128  1 Th 2.28, 1 Y 2.31
F 0.0000 0.0000 0.0000  2 Th 2.33, 2 F 2.48
F 0.3493 0.2884 0.4344  1 Th 2.27, 1 Y 2.33
F 0.5721 0.2116 0.0656  1 Th 2.27, 1 Y 2.33
F 0.1231 0.2106 0.7894  2 Th 2.25-2.36, 1 F 2.48
F 0.4279 0.7884 0.9344  1 Th 2.27, 1 Y 2.33
F 0.8493 0.9344 0.7884  1 Th 2.27, 1 Y 2.33
F 0.9279 0.4344 0.2884  1 Th 2.27, 1 Y 2.33
F 0.5497 0.0277 0.6872  1 Th 2.28, 1 Y 2.31
F 0.0497 0.1872 0.5277  1 Th 2.28, 1 Y 2.31
F 0.6507 0.7116 0.5656  1 Th 2.27, 1 Y 2.33
F 0.8769 0.7894 0.2106  2 Th 2.25-2.36, 1 F 2.48
Th 0.3500 0.3169 0.6831  7 F 2.25-2.36
Th 0.1500 0.8169 0.1831  7 F 2.25-2.36
Th 0.8500 0.1831 0.8169  7 F 2.25-2.36
Th 0.6500 0.6831 0.3169  7 F 2.25-2.36
Y 0.2500 0.2500 0.2500  8 F 2.31-2.33
Y 0.7500 0.7500 0.7500  8 F 2.31-2.33

***

(3)
The following is a PBE calculation of a relaxed ErAlGePt3 crystal, from the Alexandria database.

M_tot, μB per formula unit: 0.00
Energy of formation, eV/atom: -0.784

a = 5.5561 Å, b = 5.5812 Å, c = 8.5008 Å
α = 109.16°, β = 90.00°, γ = 90.00°
Closest atoms and distances in Å follow each position.
Sites, in units of the cell vectors:
Pt 0.5000 0.2500 0.0000  2 Al 2.51, 2 Ge 2.52, 4 Pt 2.78-2.79
Pt 0.2500 0.2488 0.4975  1 Al 2.44, 1 Ge 2.46
Pt 0.0000 0.2500 0.0000  2 Al 2.51, 2 Ge 2.52, 4 Pt 2.78-2.79
Pt 0.5000 0.7500 0.0000  2 Al 2.51, 2 Ge 2.52, 4 Pt 2.78-2.79
Pt 0.0000 0.7500 0.0000  2 Al 2.51, 2 Ge 2.52, 4 Pt 2.78-2.79
Pt 0.7500 0.7512 0.5025  1 Al 2.44, 1 Ge 2.46
Ge 0.2500 0.4021 0.8042  5 Pt 2.46-2.52
Ge 0.7500 0.5979 0.1958  5 Pt 2.46-2.52
Er 0.7500 0.3036 0.6072  4 Pt 2.91, 2 Ge 3.20, 2 Al 3.22
Er 0.2500 0.6964 0.3928  4 Pt 2.91, 2 Ge 3.20, 2 Al 3.22
Al 0.7500 0.9034 0.8069  5 Pt 2.44-2.51
Al 0.2500 0.0966 0.1931  5 Pt 2.44-2.51

***

(4)
The following is a PBE calculation of a relaxed Li6Mg2Tl crystal, from the Alexandria database.

M_tot, μB per formula unit: 0.00
Energy of formation, eV/atom: -0.103
E above lowest polymorph, kJ/mol of atoms: 0.0

a = 5.0088 Å, b = 5.2724 Å, c = 7.8491 Å
α = 70.38°, β = 81.65°, γ = 64.38°
Closest atoms and distances in Å follow each position.
Sites, in units of the cell vectors:
Mg 0.5000 0.1714 0.1571  10 Li 2.91-3.19
Mg 0.5000 0.8286 0.8429  10 Li 2.91-3.19
Li 0.6684 0.6621 0.5000  5 Li 2.87-3.22, 3 Tl 2.91-3.15, 2 Mg 3.00
Li 0.3316 0.3379 0.5000  5 Li 2.87-3.22, 3 Tl 2.91-3.15, 2 Mg 3.00
Li 0.8419 0.1682 0.8245  5 Li 2.86-3.14, 1 Tl 2.87, 4 Mg 2.91-3.19
Li 0.1581 0.8318 0.1755  5 Li 2.86-3.14, 1 Tl 2.87, 4 Mg 2.91-3.19
Li 0.1581 0.5073 0.8245  5 Li 2.86-3.14, 1 Tl 2.87, 4 Mg 2.91-3.19
Li 0.8419 0.4927 0.1755  5 Li 2.86-3.14, 1 Tl 2.87, 4 Mg 2.91-3.19
Tl 0.0000 0.0000 0.5000  10 Li 2.87-3.15

***

(5)
The following is a PBE calculation of a relaxed Na7Cd2Au2 crystal, from the Alexandria database.

M_tot, μB per formula unit: 0.00
Energy of formation, eV/atom: -0.138
E above lowest polymorph, kJ/mol of atoms: 0.0

a = 5.1630 Å, b = 8.0257 Å, c = 8.0257 Å
α = 73.22°, β = 71.72°, γ = 71.72°
Closest atoms and distances in Å follow each position.
Sites, in units of the cell vectors:
Na 0.6439 0.1406 0.5716  2 Au 3.09-3.12, 3 Na 3.18-3.41, 2 Cd 3.28-3.33
Na 0.3561 0.4284 0.8594  2 Au 3.09-3.12, 3 Na 3.18-3.41, 2 Cd 3.28-3.33
Na 0.6439 0.5716 0.1406  2 Au 3.09-3.12, 3 Na 3.18-3.41, 2 Cd 3.28-3.33
Na 0.3561 0.8594 0.4284  2 Au 3.09-3.12, 3 Na 3.18-3.41, 2 Cd 3.28-3.33
Na 0.8508 0.1517 0.1517  2 Au 3.03, 4 Na 3.14-3.18
Na 0.1492 0.8483 0.8483  2 Au 3.03, 4 Na 3.14-3.18
Na 0.5000 0.0000 0.0000  8 Na 3.14-3.21
Cd 0.1514 0.3547 0.3547  2 Au 2.92
Cd 0.8486 0.6453 0.6453  2 Au 2.92
Au 0.0000 0.2542 0.7458  2 Cd 2.92, 6 Na 3.03-3.12
Au 0.0000 0.7458 0.2542  2 Cd 2.92, 6 Na 3.03-3.12

***

(6)
The following is a PBE calculation of a relaxed NaP3PbO9 crystal, from the Alexandria database.

M_tot, μB per formula unit: 0.00
E_form (uncorrected), kJ per mole of atoms: -202.2

a = 5.7618 Å, b = 11.0751 Å, c = 12.3273 Å
α = 90.00°, β = 90.00°, γ = 90.00°
Closest atoms and distances in Å follow each position.
Sites, in units of the cell vectors:
P 0.6103 0.0919 0.8712  4 O 1.50-1.63
P 0.0923 0.7875 0.1838  4 O 1.50-1.62
P 0.1103 0.4081 0.1288  4 O 1.50-1.63
P 0.5923 0.7125 0.8162  4 O 1.50-1.62
P 0.1086 0.1430 0.1443  4 O 1.49-1.64
P 0.3897 0.5919 0.6288  4 O 1.50-1.63
P 0.6086 0.3570 0.8557  4 O 1.49-1.64
P 0.3914 0.8570 0.6443  4 O 1.49-1.64
P 0.4077 0.2125 0.6838  4 O 1.50-1.62
P 0.8897 0.9081 0.3712  4 O 1.50-1.63
P 0.8914 0.6430 0.3557  4 O 1.49-1.64
P 0.9077 0.2875 0.3162  4 O 1.50-1.62
O 0.5036 0.5097 0.5476  1 P 1.50
O 0.6581 0.9441 0.3248  1 P 1.51
O 0.4993 0.9472 0.5696  1 P 1.49
O 0.8419 0.0559 0.8248  1 P 1.51
O 0.3815 0.7277 0.5812  2 P 1.62-1.63
O 0.0777 0.8947 0.2728  2 P 1.62-1.63
O 0.6185 0.2277 0.9188  2 P 1.62-1.63
O 0.4964 0.0097 0.9524  1 P 1.50
O 0.4223 0.1053 0.7728  2 P 1.62-1.63
O 0.5777 0.6053 0.7272  2 P 1.62-1.63
O 0.8815 0.7723 0.4188  2 P 1.62-1.63
O 0.4126 0.3298 0.7620  2 P 1.62-1.64
O 0.9223 0.3947 0.2272  2 P 1.62-1.63
O 0.3357 0.1175 0.2003  1 P 1.51
O 0.1185 0.2723 0.0812  2 P 1.62-1.63
O 0.0874 0.6702 0.2620  2 P 1.62-1.64
O 0.5007 0.4472 0.9304  1 P 1.49
O 0.8357 0.3825 0.7997  1 P 1.51
O 0.0007 0.0528 0.0696  1 P 1.49
O 0.6217 0.2102 0.6126  1 P 1.51
O 0.1581 0.5559 0.6752  1 P 1.51
O 0.5874 0.8298 0.7380  2 P 1.62-1.64
O 0.8243 0.7064 0.8712  1 P 1.50
O 0.9964 0.4903 0.0476  1 P 1.50
O 0.1757 0.2064 0.6288  1 P 1.50
O 0.8783 0.7898 0.1126  1 P 1.51
O 0.3419 0.4441 0.1752  1 P 1.51
O 0.3243 0.7936 0.1288  1 P 1.50
O 0.6643 0.6175 0.2997  1 P 1.51
O 0.1217 0.2898 0.3874  1 P 1.51
O 0.0036 0.9903 0.4524  1 P 1.50
O 0.1643 0.8825 0.7003  1 P 1.51
O 0.9126 0.1702 0.2380  2 P 1.62-1.64
O 0.6757 0.2936 0.3712  1 P 1.50
O 0.9993 0.5528 0.4304  1 P 1.49
O 0.3783 0.7102 0.8874  1 P 1.51
Pb 0.6025 0.6029 0.0898  6 O 2.54-2.69
Pb 0.8975 0.3971 0.5898  6 O 2.54-2.69
Pb 0.1025 0.8971 0.9102  6 O 2.54-2.69
Pb 0.3975 0.1029 0.4102  6 O 2.54-2.69
Na 0.3974 0.4653 0.3665  6 O 2.37-2.61
Na 0.8974 0.0347 0.6335  6 O 2.37-2.61
Na 0.6026 0.9653 0.1335  6 O 2.37-2.61
Na 0.1026 0.5347 0.8665  6 O 2.37-2.61

***

(7)
The following is a PBE calculation of a relaxed ZrAl2Sn2 crystal, from the Alexandria database.

M_tot, μB per formula unit: 0.00
Energy of formation, eV/atom: 0.048
E above lowest polymorph, kJ/mol of atoms: 8.7

a = 7.6394 Å, b = 7.6394 Å, c = 3.7771 Å
α = 90.00°, β = 90.00°, γ = 90.00°
Closest atoms and distances in Å follow each position.
Sites, in units of the cell vectors:
Sn 0.8577 0.6423 0.0000  6 Al 2.87-2.97, 2 Zr 2.94, 1 Sn 3.07
Sn 0.1423 0.3577 0.0000  6 Al 2.87-2.97, 2 Zr 2.94, 1 Sn 3.07
Sn 0.6423 0.1423 0.0000  6 Al 2.87-2.97, 2 Zr 2.94, 1 Sn 3.07
Sn 0.3577 0.8577 0.0000  6 Al 2.87-2.97, 2 Zr 2.94, 1 Sn 3.07
Zr 0.0000 0.0000 0.0000  4 Sn 2.94
Zr 0.5000 0.5000 0.0000  4 Sn 2.94
Al 0.3428 0.1572 0.5000  6 Sn 2.87-2.97
Al 0.8428 0.3428 0.5000  6 Sn 2.87-2.97
Al 0.6572 0.8428 0.5000  6 Sn 2.87-2.97
Al 0.1572 0.6572 0.5000  6 Sn 2.87-2.97

***

(8)
The following is a PBE calculation of a relaxed SrTlV2 crystal, from the Alexandria database.

M_tot, μB per formula unit: 0.00
Energy of formation, eV/atom: 0.792
E above lowest polymorph, kJ/mol of atoms: 0.0

a = 4.5392 Å, b = 4.5392 Å, c = 10.7141 Å
α = 77.77°, β = 77.77°, γ = 90.00°
Closest atoms and distances in Å follow each position.
Sites, in units of the cell vectors:
V 0.8871 0.6250 0.2500  2 V 2.27
V 0.8629 0.1250 0.2500  2 V 2.27
V 0.8750 0.1129 0.7500  2 V 2.27
V 0.3750 0.1371 0.7500  2 V 2.27
Sr 0.2500 0.7500 0.5000  4 Tl 3.21, 4 V 3.57
Sr 0.5000 0.5000 0.0000  4 Tl 3.21, 4 V 3.57
Tl 0.7500 0.2500 0.5000  4 V 2.80
Tl 0.0000 0.0000 0.0000  4 V 2.80

***

(9)
The following is a PBE calculation of a relaxed TbCe2Tm crystal, from the Alexandria database.

M_tot, μB per formula unit: 1.49
Energy of formation, eV/atom: 0.089
E above lowest polymorph, kJ/mol of atoms: 0.3

a = 3.4740 Å, b = 3.4740 Å, c = 11.6524 Å
α = 81.43°, β = 81.43°, γ = 60.00°
Closest atoms and distances in Å follow each position.
Sites, in units of the cell vectors:
Tb 0.6682 0.6682 0.9954  6 Tb 3.47, 6 Ce 3.49-3.59
Ce 0.2486 0.2486 0.2543  6 Ce 3.47, 3 Tm 3.49, 3 Tb 3.59
Ce 0.0843 0.0843 0.7470  3 Tm 3.44, 6 Ce 3.47, 3 Tb 3.49
Tm 0.4989 0.4989 0.5033  6 Ce 3.44-3.49, 6 Tm 3.47

***

(10)
The following is a PBE calculation of a relaxed Ca2YCr crystal, from the Alexandria database.

M_tot, μB per formula unit: 4.64
Energy of formation, eV/atom: 0.402
E above lowest polymorph, kJ/mol of atoms: 11.8

a = 5.5285 Å, b = 5.5285 Å, c = 5.5285 Å
α = 119.95°, β = 119.95°, γ = 90.09°
Closest atoms and distances in Å follow each position.
Sites, in units of the cell vectors:
Ca 0.0000 0.0000 0.0000  4 Ca 3.39, 4 Y 3.39
Ca 0.2500 0.7500 0.5000  4 Ca 3.39, 4 Cr 3.39
Y 0.7500 0.2500 0.5000  4 Cr 3.39, 4 Ca 3.39
Cr 0.5000 0.5000 0.0000  4 Y 3.39, 4 Ca 3.39

***

(11)
The following is a PBE calculation of a relaxed ScSi2W crystal, from the Alexandria database.

M_tot, μB per formula unit: 0.00
E_form (uncorrected), kJ per mole of atoms: 20.0
E above lowest polymorph, kJ/mol of atoms: 57.1

a = 8.7847 Å, b = 8.7847 Å, c = 8.7847 Å
α = 19.49°, β = 19.49°, γ = 19.49°
Closest atoms and distances in Å follow each position.
Sites, in units of the cell vectors:
Sc 0.7474 0.7474 0.7474  3 Si 2.85, 3 W 2.97, 6 Sc 2.97
W 0.5078 0.5078 0.5078  3 Si 2.64
Si 0.2523 0.2523 0.2523  3 Si 2.56, 3 W 2.64
Si 0.9925 0.9925 0.9925  3 Si 2.56, 3 Sc 2.85

***

(12)
The following is a PBE calculation of a relaxed NbAuBr2 crystal, from the Alexandria database.

M_tot, μB per formula unit: 0.00
E_form (uncorrected), kJ per mole of atoms: 31.8
E above lowest polymorph, kJ/mol of atoms: 49.2

a = 12.3752 Å, b = 12.3752 Å, c = 12.3752 Å
α = 14.94°, β = 14.94°, γ = 14.94°
Closest atoms and distances in Å follow each position.
Sites, in units of the cell vectors:
Nb 0.0000 0.0000 0.0000  2 Br 2.44
Au 0.5000 0.5000 0.5000  6 Au 3.22
Br 0.0665 0.0665 0.0665  1 Nb 2.44
Br 0.9335 0.9335 0.9335  1 Nb 2.44

***

Raw total energy (eV per cell)
-49.957; -198.788; -71.494; -17.963; -19.140; -380.865; -47.595; -38.234; -20.613; -18.482; -29.300; -15.374